Record 1
NbRh3W: optimized geometry, PBE-GGA.

Energy relative to the elements in eV/atom: 1.24
V in Å³/f.u.: 100.6

Geometry as CIF:
```
data_NbRh3W
_cell_length_a 4.651
_cell_length_b 4.651
_cell_length_c 4.651
_cell_angle_alpha 90.00
_cell_angle_beta 90.00
_cell_angle_gamma 90.00
_space_group_name_H-M_alt 'P m -3 m'
_space_group_IT_number 221
_space_group_name_Hall '-P 4 2 3'
loop_
_atom_site_label
_atom_site_type_symbol
_atom_site_fract_x
_atom_site_fract_y
_atom_site_fract_z
Nb1 Nb 0.000 0.000 0.000
Rh1 Rh 0.000 0.500 0.500
W1 W 0.500 0.500 0.500
```

---

Record 2
HfInCo: optimized geometry, PBE-GGA.

Energy relative to the elements in eV/atom: -0.17
V in Å³/f.u.: 53.2

Geometry as CIF:
```
data_HfInCo
_cell_length_a 3.095
_cell_length_b 3.095
_cell_length_c 11.116
_cell_angle_alpha 90.00
_cell_angle_beta 90.00
_cell_angle_gamma 90.00
_space_group_name_H-M_alt 'I 4 m m'
_space_group_IT_number 107
_space_group_name_Hall 'I 4 -2'
loop_
_atom_site_label
_atom_site_type_symbol
_atom_site_fract_x
_atom_site_fract_y
_atom_site_fract_z
Hf1 Hf 0.000 0.000 0.000
In1 In 0.000 0.000 0.711
Co1 Co 0.000 0.000 0.366
```

---

Record 3
HfPaFeRu: optimized geometry, PBE-GGA.

Energy relative to the elements in eV/atom: -0.25
V in Å³/f.u.: 72.3

Geometry as CIF:
```
data_HfPaFeRu
_cell_length_a 6.614
_cell_length_b 6.614
_cell_length_c 6.614
_cell_angle_alpha 90.00
_cell_angle_beta 90.00
_cell_angle_gamma 90.00
_space_group_name_H-M_alt 'F -4 3 m'
_space_group_IT_number 216
_space_group_name_Hall 'F -4 2 3'
loop_
_atom_site_label
_atom_site_type_symbol
_atom_site_fract_x
_atom_site_fract_y
_atom_site_fract_z
Hf1 Hf 0.000 0.000 0.000
Pa1 Pa 0.000 0.000 0.500
Fe1 Fe 0.250 0.250 0.750
Ru1 Ru 0.250 0.250 0.250
```

---

Record 4
HgBr2Cl2: optimized geometry, PBE-GGA.

V in Å³/f.u.: 204.8
Final energy in Ry/atom: -0.11775

Geometry as CIF:
```
data_HgBr2Cl2
_cell_length_a 7.394
_cell_length_b 7.394
_cell_length_c 7.493
_cell_angle_alpha 90.00
_cell_angle_beta 90.00
_cell_angle_gamma 90.00
_space_group_name_H-M_alt 'P 4/m b m'
_space_group_IT_number 127
_space_group_name_Hall '-P 4 2ab'
loop_
_atom_site_label
_atom_site_type_symbol
_atom_site_fract_x
_atom_site_fract_y
_atom_site_fract_z
Hg1 Hg 0.000 0.000 0.000
Br1 Br 0.177 0.323 0.000
Cl1 Cl 0.095 0.595 0.500
```

---

Record 5
Re2HgTe: optimized geometry, PBE-GGA.

V in Å³/f.u.: 74.5
Final energy in Ry/atom: -0.43013

Geometry as CIF:
```
data_Re2HgTe
_cell_length_a 2.970
_cell_length_b 4.994
_cell_length_c 10.049
_cell_angle_alpha 90.00
_cell_angle_beta 90.00
_cell_angle_gamma 90.00
_space_group_name_H-M_alt 'C m m m'
_space_group_IT_number 65
_space_group_name_Hall '-C 2 2'
loop_
_atom_site_label
_atom_site_type_symbol
_atom_site_fract_x
_atom_site_fract_y
_atom_site_fract_z
Re1 Re 0.000 0.000 0.246
Hg1 Hg 0.000 0.500 0.000
Te1 Te 0.000 0.500 0.500
```

---

Record 6
Sr2PmPuO6: optimized geometry, PBE-GGA.

V in Å³/f.u.: 160.1
Final energy in Ry/atom: -0.60682

Geometry as CIF:
```
data_Sr2PmPuO6
_cell_length_a 6.018
_cell_length_b 6.179
_cell_length_c 10.492
_cell_angle_alpha 90.00
_cell_angle_beta 124.86
_cell_angle_gamma 90.00
_space_group_name_H-M_alt 'P 1 21/c 1'
_space_group_IT_number 14
loop_
_space_group_symop_operation_xyz
'x,y,z'
'-x,-y,-z'
'-x,y+1/2,-z+1/2'
'x,-y+1/2,z+1/2'
loop_
_atom_site_label
_atom_site_type_symbol
_atom_site_fract_x
_atom_site_fract_y
_atom_site_fract_z
Sr1 Sr 0.239 0.046 0.251
Pm1 Pm 0.500 0.000 0.000
Pu1 Pu 0.000 0.000 0.500
O1 O 0.130 0.215 0.940
O2 O 0.233 0.691 0.947
O3 O 0.343 0.044 0.738
```

---

Record 7
BaNa2Nb2O7: optimized geometry, PBE-GGA.

V in Å³/f.u.: 172.5
Final energy in Ry/atom: -0.54788

Geometry as CIF:
```
data_BaNa2Nb2O7
_cell_length_a 4.049
_cell_length_b 19.508
_cell_length_c 4.368
_cell_angle_alpha 90.00
_cell_angle_beta 90.00
_cell_angle_gamma 90.00
_space_group_name_H-M_alt 'I m m 2'
_space_group_IT_number 44
loop_
_space_group_symop_operation_xyz
'x,y,z'
'-x,-y,z'
'-x,y,z'
'x,-y,z'
'x+1/2,y+1/2,z+1/2'
'-x+1/2,-y+1/2,z+1/2'
'-x+1/2,y+1/2,z+1/2'
'x+1/2,-y+1/2,z+1/2'
loop_
_atom_site_label
_atom_site_type_symbol
_atom_site_fract_x
_atom_site_fract_y
_atom_site_fract_z
Ba1 Ba 0.000 0.000 0.000
Na1 Na 0.000 0.261 0.535
Nb1 Nb 0.000 0.392 0.985
O1 O 0.000 0.099 0.535
O2 O 0.000 0.296 0.040
O3 O 0.000 0.397 0.555
O4 O 0.000 0.500 0.056
```

---

Record 8
Pa2Ge3Pd: optimized geometry, PBE-GGA.

Energy relative to the elements in eV/atom: -0.48
V in Å³/f.u.: 123.5

Geometry as CIF:
```
data_Pa2Ge3Pd
_cell_length_a 7.764
_cell_length_b 8.531
_cell_length_c 14.917
_cell_angle_alpha 90.00
_cell_angle_beta 90.00
_cell_angle_gamma 90.00
_space_group_name_H-M_alt 'F m m m'
_space_group_IT_number 69
_space_group_name_Hall '-F 2 2'
loop_
_atom_site_label
_atom_site_type_symbol
_atom_site_fract_x
_atom_site_fract_y
_atom_site_fract_z
Pa1 Pa 0.245 0.000 0.000
Pa2 Pa 0.250 0.250 0.250
Ge1 Ge 0.000 0.000 0.175
Ge2 Ge 0.000 0.245 0.084
Pd1 Pd 0.000 0.000 0.341
```

---

Which formula does entry 8 have?
Pa2Ge3Pd